DFT (GGA-PBE) results for AlHgMo2 after structural relaxation.

The structure in POSCAR format:
```
AlHgMo2
1.0
3.270 0.000 0.000
0.000 3.270 0.000
0.000 0.000 6.392
Mo Hg Al
2 1 1
direct
0.000 0.000 0.041
0.500 0.500 0.241
0.500 0.500 0.740
0.000 0.000 0.478
```

Output
VASP energy ... -6.28 eV/atom
Energy relative to the elements ... 0.1499 eV per atom
Excess energy over the best structure of this formula in the dataset ... 0.000 eV/atom
Symmetry ... P4mm (99)
Calculated volume ... 68 Å³/cell

DFT (GGA-PBE) results for ZnIr2Cl after structural relaxation.

The structure in POSCAR format:
```
ZnIr2Cl
1.0
-2.004 1.632 2.408
0.678 -1.949 1.885
6.411 2.055 3.942
Cl Ir Zn
1 2 1
direct
0.500 0.063 0.811
0.000 0.840 0.035
0.500 0.142 0.234
0.000 0.456 0.420
```

Output
VASP energy ... -5.07 eV/atom
Excess energy over the best structure of this formula in the dataset ... 0.000 eV/atom
Symmetry ... Pm (6)
Formation energy from raw total energies ... 0.14 eV/atom
Calculated volume ... 72 Å³/cell

DFT (GGA-PBE) results for DyTm2P3Rh12 after structural relaxation.

The structure in POSCAR format:
```
DyTm2P3Rh12
1.0
6.462 -1.393 -0.988
1.980 6.306 -0.988
1.980 1.152 6.278
Dy Tm P Rh
1 2 3 12
direct
0.000 0.000 0.000
0.627 0.627 0.627
0.373 0.373 0.373
0.500 0.000 0.000
0.000 0.500 0.000
0.000 0.000 0.500
0.371 0.371 0.906
0.819 0.819 0.339
0.339 0.819 0.819
0.906 0.371 0.371
0.819 0.339 0.819
0.371 0.906 0.371
0.629 0.629 0.094
0.181 0.181 0.661
0.661 0.181 0.181
0.094 0.629 0.629
0.181 0.661 0.181
0.629 0.094 0.629
```

Output
VASP energy ... -7.00 eV/atom
Energy relative to the elements ... -0.4414 eV per atom
Symmetry ... R-3m (166)
Calculated volume ... 293 Å³/cell

DFT (GGA-PBE) results for Tb2Pm5Er12 after structural relaxation.

The structure in POSCAR format:
```
Tb2Pm5Er12
1.0
6.162 1.050 -0.310
-1.763 6.792 -5.676
-0.477 0.098 13.777
Tb Pm Er
2 5 12
direct
0.544 0.840 0.845
0.456 0.160 0.155
0.274 0.506 0.557
0.122 0.668 0.156
0.000 0.000 0.500
0.878 0.332 0.844
0.726 0.494 0.443
0.986 0.110 0.269
0.074 0.787 0.951
0.600 0.730 0.056
0.180 0.545 0.340
0.645 0.608 0.250
0.504 0.936 0.612
0.496 0.064 0.388
0.820 0.455 0.660
0.355 0.392 0.750
0.926 0.213 0.049
0.400 0.270 0.944
0.014 0.890 0.731
```

Output
VASP energy ... -4.56 eV/atom
Energy relative to the elements ... 0.0628 eV per atom
Excess energy over the best structure of this formula in the dataset ... 0.000 eV/atom
Symmetry ... P-1 (2)
Calculated volume ... 607 Å³/cell

DFT (GGA-PBE) results for Fe2AgAs after structural relaxation.

The structure in POSCAR format:
```
Fe2AgAs
1.0
8.586 -0.121 -0.071
8.137 2.742 -0.071
8.137 1.275 2.428
Ag As Fe
1 1 2
direct
0.506 0.506 0.506
0.735 0.735 0.735
0.998 0.998 0.998
0.261 0.261 0.261
```

Output
VASP energy ... -5.88 eV/atom
Energy relative to the elements ... 0.2258 eV per atom
Symmetry ... R3m (160)
Calculated volume ... 61 Å³/cell

DFT (GGA-PBE) results for CsPdBr3 after structural relaxation.

The structure in POSCAR format:
```
CsPdBr3
1.0
-0.595 -3.195 -4.172
5.132 -1.254 0.229
-1.284 -14.899 8.241
Cs Br Pd
2 6 2
direct
0.000 0.000 0.000
0.250 0.750 0.500
0.155 0.904 0.192
0.096 0.845 0.808
0.096 0.347 0.808
0.653 0.904 0.192
0.310 0.310 0.380
0.690 0.690 0.620
0.710 0.210 0.580
0.790 0.290 0.420
```

Output
VASP energy ... -2.61 eV/atom
Symmetry ... I-4m2 (119)
Formation energy from raw total energies ... -0.40 eV/atom
Calculated volume ... 466 Å³/cell

DFT (GGA-PBE) results for Pm5NdSmHo2 after structural relaxation.

The structure in POSCAR format:
```
Pm5NdSmHo2
1.0
5.701 0.000 0.000
-2.850 10.169 0.000
0.000 0.000 10.668
Pm Nd Sm Ho
10 2 2 4
direct
0.390 0.780 0.025
0.719 0.438 0.811
0.478 0.956 0.740
0.297 0.594 0.706
0.983 0.966 0.524
0.610 0.220 0.525
0.281 0.562 0.311
0.522 0.044 0.240
0.703 0.406 0.206
0.017 0.034 0.024
0.586 0.172 0.951
0.414 0.828 0.451
0.800 0.599 0.511
0.200 0.401 0.011
0.884 0.767 0.822
0.112 0.224 0.734
0.116 0.233 0.322
0.888 0.776 0.234
```

Output
VASP energy ... -4.56 eV/atom
Energy relative to the elements ... 0.1482 eV per atom
Symmetry ... Cmc2_1 (36)
Calculated volume ... 618 Å³/cell

DFT (GGA-PBE) results for KCaMo after structural relaxation.

The structure in POSCAR format:
```
KCaMo
1.0
-1.138 -1.315 -6.924
0.775 -5.830 -4.046
-2.644 3.872 5.383
Ca K Mo
1 1 1
direct
0.040 0.040 0.000
0.321 0.321 0.000
0.639 0.639 0.000
```

Output
VASP energy ... -3.39 eV/atom
Energy relative to the elements ... 1.2560 eV per atom
Excess energy over the best structure of this formula in the dataset ... 0.195 eV/atom
Symmetry ... Imm2 (44)
Calculated volume ... 95 Å³/cell

DFT (GGA-PBE) results for CsCuSeBr2 after structural relaxation.

The structure in POSCAR format:
```
CsCuSeBr2
1.0
-2.668 -3.520 -3.372
4.864 -1.682 -2.094
0.264 -3.416 3.357
Cs Cu Se Br
1 1 1 2
direct
0.500 0.500 0.500
0.000 0.000 0.000
0.000 0.000 0.500
0.000 0.500 0.000
0.500 0.000 0.000
```

Output
VASP energy ... -2.94 eV/atom
Excess energy over the best structure of this formula in the dataset ... 0.000 eV/atom
Symmetry ... P4/mmm (123)
Formation energy from raw total energies ... -0.58 eV/atom
Calculated volume ... 148 Å³/cell

DFT (GGA-PBE) results for Ac2Al4Cu3Au after structural relaxation.

The structure in POSCAR format:
```
Ac2Al4Cu3Au
1.0
4.433 0.000 0.000
0.000 4.433 0.000
0.000 0.000 10.479
Ac Al Cu Au
2 4 3 1
direct
0.500 0.000 0.250
0.000 0.500 0.750
0.500 0.500 0.000
0.000 0.000 0.000
0.500 0.000 0.630
0.000 0.500 0.370
0.000 0.000 0.500
0.500 0.000 0.874
0.000 0.500 0.126
0.500 0.500 0.500
```

Output
VASP energy ... -4.30 eV/atom
Energy relative to the elements ... -0.4248 eV per atom
Symmetry ... P-4m2 (115)
Calculated volume ... 206 Å³/cell

DFT (GGA-PBE) results for LaCoP2 after structural relaxation.

The structure in POSCAR format:
```
LaCoP2
1.0
6.297 0.012 0.002
4.321 4.580 -0.002
-5.319 -2.272 2.489
Co La P
1 1 2
direct
0.546 0.546 0.000
0.292 0.792 0.500
0.002 0.002 0.000
0.660 0.160 0.500
```

Output
VASP energy ... -6.24 eV/atom
Energy relative to the elements ... -0.5224 eV per atom
Excess energy over the best structure of this formula in the dataset ... 0.399 eV/atom
Symmetry ... Imm2 (44)
Calculated volume ... 72 Å³/cell

DFT (GGA-PBE) results for Ta5ReW6 after structural relaxation.

The structure in POSCAR format:
```
Ta5ReW6
1.0
-3.369 1.133 -2.847
4.329 1.358 -4.583
-0.789 -7.718 1.504
Re W Ta
1 6 5
direct
0.000 0.000 0.000
0.835 0.587 0.670
0.835 0.083 0.670
0.500 0.754 0.000
0.500 0.246 0.000
0.165 0.917 0.330
0.165 0.413 0.330
0.666 0.166 0.333
0.334 0.334 0.667
0.000 0.500 0.000
0.666 0.666 0.333
0.334 0.834 0.667
```

Output
VASP energy ... -12.58 eV/atom
Energy relative to the elements ... -0.1306 eV per atom
Symmetry ... Immm (71)
Calculated volume ... 201 Å³/cell

DFT (GGA-PBE) results for CaTbNd2Hg4 after structural relaxation.

The structure in POSCAR format:
```
CaTbNd2Hg4
1.0
5.378 0.000 0.000
2.689 4.657 0.000
2.689 1.552 8.758
Ca Tb Nd Hg
1 1 2 4
direct
0.000 0.000 0.000
0.500 0.500 0.500
0.748 0.748 0.755
0.252 0.252 0.245
0.377 0.377 0.869
0.873 0.873 0.380
0.127 0.127 0.620
0.623 0.623 0.131
```

Output
VASP energy ... -2.68 eV/atom
Energy relative to the elements ... -0.5111 eV per atom
Symmetry ... R-3m (166)
Calculated volume ... 219 Å³/cell

DFT (GGA-PBE) results for ZrSc2Ni2 after structural relaxation.

The structure in POSCAR format:
```
ZrSc2Ni2
1.0
3.318 0.000 0.000
0.000 3.318 0.000
1.659 1.659 8.725
Sc Ni Zr
2 2 1
direct
0.371 0.371 0.259
0.629 0.629 0.741
0.750 0.250 0.500
0.250 0.750 0.500
0.000 0.000 0.000
```

Output
VASP energy ... -6.60 eV/atom
Energy relative to the elements ... -0.0473 eV per atom
Excess energy over the best structure of this formula in the dataset ... 0.292 eV/atom
Symmetry ... I4/mmm (139)
Calculated volume ... 96 Å³/cell

DFT (GGA-PBE) results for Tl4Hg after structural relaxation.

The structure in POSCAR format:
```
Tl4Hg
1.0
4.701 0.000 0.000
2.351 5.620 0.000
2.351 0.000 5.620
Hg Tl
1 4
direct
0.000 0.000 0.000
0.600 0.196 0.604
0.796 0.604 0.804
0.400 0.804 0.396
0.204 0.396 0.196
```

Output
VASP energy ... -1.94 eV/atom
Energy relative to the elements ... 0.0149 eV per atom
Excess energy over the best structure of this formula in the dataset ... 0.017 eV/atom
Symmetry ... I4/m (87)
Calculated volume ... 148 Å³/cell

DFT (GGA-PBE) results for LiHoMg4 after structural relaxation.

The structure in POSCAR format:
```
LiHoMg4
1.0
-1.372 -2.158 5.383
-0.620 -5.875 0.785
4.071 -3.036 3.119
Mg Ho Li
4 1 1
direct
0.625 0.625 0.125
0.625 0.125 0.625
0.625 0.625 0.625
0.125 0.625 0.625
0.000 0.000 0.000
0.250 0.250 0.250
```

Output
VASP energy ... -2.11 eV/atom
Energy relative to the elements ... 0.0344 eV per atom
Excess energy over the best structure of this formula in the dataset ... 0.090 eV/atom
Symmetry ... F-43m (216)
Calculated volume ... 150 Å³/cell

DFT (GGA-PBE) results for Al4MoAs after structural relaxation.

The structure in POSCAR format:
```
Al4MoAs
1.0
0.000 3.639 3.639
3.639 0.000 3.639
3.639 3.639 0.000
Al Mo As
4 1 1
direct
0.878 0.374 0.374
0.374 0.374 0.878
0.374 0.878 0.374
0.374 0.374 0.374
0.000 0.000 0.000
0.750 0.750 0.750
```

Output
VASP energy ... -4.97 eV/atom
Energy relative to the elements ... 0.1044 eV per atom
Symmetry ... F-43m (216)
Calculated volume ... 96 Å³/cell

DFT (GGA-PBE) results for La2TbCePr6 after structural relaxation.

The structure in POSCAR format:
```
La2TbCePr6
1.0
-0.526 -9.380 -1.890
3.978 0.937 -5.758
2.503 0.890 6.204
La Tb Ce Pr
2 1 1 6
direct
0.208 0.135 0.271
0.792 0.865 0.729
0.500 0.000 0.000
0.000 0.500 0.000
0.412 0.636 0.272
0.186 0.091 0.702
0.814 0.389 0.298
0.186 0.611 0.702
0.814 0.909 0.298
0.588 0.364 0.728
```

Output
VASP energy ... -4.68 eV/atom
Energy relative to the elements ... 0.2272 eV per atom
Symmetry ... C2/m (12)
Calculated volume ... 359 Å³/cell

DFT (GGA-PBE) results for LaScAs2 after structural relaxation.

The structure in POSCAR format:
```
LaScAs2
1.0
5.221 -0.006 0.003
0.119 5.219 -0.003
-1.988 -3.305 3.519
As La Sc
2 1 1
direct
0.021 0.021 0.000
0.479 0.479 0.000
0.750 0.250 0.500
0.250 0.750 0.500
```

Output
VASP energy ... -6.24 eV/atom
Energy relative to the elements ... -1.0955 eV per atom
Excess energy over the best structure of this formula in the dataset ... 0.335 eV/atom
Symmetry ... Immm (71)
Calculated volume ... 96 Å³/cell

DFT (GGA-PBE) results for SiTe2NO after structural relaxation.

The structure in POSCAR format:
```
SiTe2NO
1.0
-2.853 -0.052 3.784
-3.651 -1.209 -2.769
0.831 -3.826 0.574
Si Te O N
1 2 1 1
direct
0.500 0.500 0.500
0.000 0.500 0.000
0.500 0.000 0.000
0.000 0.000 0.000
0.000 0.000 0.500
```

Output
VASP energy ... -3.81 eV/atom
Excess energy over the best structure of this formula in the dataset ... 0.564 eV/atom
Symmetry ... P4/mmm (123)
Formation energy from raw total energies ... 1.19 eV/atom
Calculated volume ... 89 Å³/cell